1.
# ZrCd2Ag | Alexandria | PBE | relaxed
# DOS at the Fermi energy (states/eV/cell): 3.477
# Final energy (eV per formula unit): -13.6
# Volume (Å³ per atom): 20.5
# Symmetry: No. 123
data_ZrCd2Ag
_chemical_formula_sum 'Zr1 Cd2 Ag1'
_space_group_name_H-M_alt 'P 1'
_space_group_IT_number 1
_space_group_name_Hall 'P 1'
_cell_length_a 3.1166
_cell_length_b 3.1166
_cell_length_c 8.4566
_cell_angle_alpha 90.00
_cell_angle_beta 90.00
_cell_angle_gamma 90.00
loop_
_atom_site_label
_atom_site_type_symbol
_atom_site_fract_x
_atom_site_fract_y
_atom_site_fract_z
Zr1 Zr 0.5000 0.5000 0.2500
Ag1 Ag 0.5000 0.5000 0.7500
Cd1 Cd 0.0000 0.0000 0.9866
Cd2 Cd 0.0000 0.0000 0.5134

=====

2.
# Zr2Cd2Ag | Alexandria | PBE | relaxed
# DOS at the Fermi energy (states/eV/cell): 7.484
# Final energy (eV per formula unit): -20.5
# Volume (Å³ per atom): 23.1
# Symmetry: No. 127
data_Zr2Cd2Ag
_chemical_formula_sum 'Zr4 Cd4 Ag2'
_space_group_name_H-M_alt 'P 1'
_space_group_IT_number 1
_space_group_name_Hall 'P 1'
_cell_length_a 8.8475
_cell_length_b 8.8475
_cell_length_c 2.9480
_cell_angle_alpha 90.00
_cell_angle_beta 90.00
_cell_angle_gamma 90.00
loop_
_atom_site_label
_atom_site_type_symbol
_atom_site_fract_x
_atom_site_fract_y
_atom_site_fract_z
Zr1 Zr 0.3770 0.8770 0.0000
Zr2 Zr 0.8770 0.6230 0.0000
Zr3 Zr 0.6230 0.1230 0.0000
Zr4 Zr 0.1230 0.3770 0.0000
Ag1 Ag 0.0000 0.0000 0.0000
Ag2 Ag 0.5000 0.5000 0.0000
Cd1 Cd 0.1731 0.6731 0.5000
Cd2 Cd 0.6731 0.8269 0.5000
Cd3 Cd 0.8269 0.3269 0.5000
Cd4 Cd 0.3269 0.1731 0.5000

=====

3.
# Zr2Cd6Ag | Alexandria | PBE | relaxed
# DOS at the Fermi energy (states/eV/cell): 7.061
# Final energy (eV per formula unit): -24.6
# Volume (Å³ per atom): 23.3
# Symmetry: No. 71
data_Zr2Cd6Ag
_chemical_formula_sum 'Zr2 Cd6 Ag1'
_space_group_name_H-M_alt 'P 1'
_space_group_IT_number 1
_space_group_name_Hall 'P 1'
_cell_length_a 4.8133
_cell_length_b 5.9879
_cell_length_c 8.2188
_cell_angle_alpha 111.36
_cell_angle_beta 107.03
_cell_angle_gamma 90.00
loop_
_atom_site_label
_atom_site_type_symbol
_atom_site_fract_x
_atom_site_fract_y
_atom_site_fract_z
Zr1 Zr 0.6000 0.1000 0.2001
Zr2 Zr 0.4000 0.9000 0.7999
Cd1 Cd 0.8013 0.5475 0.6026
Cd2 Cd 0.1987 0.4525 0.3974
Cd3 Cd 0.1987 0.9449 0.3974
Cd4 Cd 0.0000 0.2444 0.0000
Cd5 Cd 0.0000 0.7556 0.0000
Cd6 Cd 0.8013 0.0551 0.6026
Ag1 Ag 0.5000 0.5000 0.0000

=====

4.
# Zr2Cd3Ag3 | Alexandria | PBE | relaxed
# DOS at the Fermi energy (states/eV/cell): 10.278
# Final energy (eV per formula unit): -28.5
# Volume (Å³ per atom): 22.1
# Symmetry: No. 193
data_Zr2Cd3Ag3
_chemical_formula_sum 'Zr4 Cd6 Ag6'
_space_group_name_H-M_alt 'P 1'
_space_group_IT_number 1
_space_group_name_Hall 'P 1'
_cell_length_a 5.6837
_cell_length_b 8.4727
_cell_length_c 8.4727
_cell_angle_alpha 60.00
_cell_angle_beta 90.00
_cell_angle_gamma 90.00
loop_
_atom_site_label
_atom_site_type_symbol
_atom_site_fract_x
_atom_site_fract_y
_atom_site_fract_z
Zr1 Zr 0.0000 0.3333 0.3333
Zr2 Zr 0.5000 0.6667 0.6667
Zr3 Zr 0.0000 0.6667 0.6667
Zr4 Zr 0.5000 0.3333 0.3333
Cd1 Cd 0.7500 0.0000 0.3043
Cd2 Cd 0.7500 0.3043 0.6957
Cd3 Cd 0.7500 0.6957 0.0000
Cd4 Cd 0.2500 0.0000 0.6957
Cd5 Cd 0.2500 0.6957 0.3043
Cd6 Cd 0.2500 0.3043 0.0000
Ag1 Ag 0.7500 0.0000 0.6445
Ag2 Ag 0.7500 0.6445 0.3555
Ag3 Ag 0.7500 0.3555 0.0000
Ag4 Ag 0.2500 0.0000 0.3555
Ag5 Ag 0.2500 0.3555 0.6445
Ag6 Ag 0.2500 0.6445 0.0000

=====

Q: final energy of number 1 (ZrCd2Ag)?
A: -13.6 eV per formula unit

=====

Q: What is the final energy in the fourth record?
A: -28.5 eV per formula unit

=====

Q: The lowest DOS at the Fermi energy belongs to which entry?
A: ZrCd2Ag